A plane-wave DFT calculation with PBE was carried out for a geometry-optimized K2HAuI structure.

Structure (CIF):
```
data_K2HAuI
_cell_length_a 5.857
_cell_length_b 5.857
_cell_length_c 4.064
_cell_angle_alpha 90.00
_cell_angle_beta 90.00
_cell_angle_gamma 90.00
_space_group_name_H-M_alt 'P 4/m m m'
_space_group_IT_number 123
_space_group_name_Hall '-P 4 2'
loop_
_atom_site_label
_atom_site_type_symbol
_atom_site_fract_x
_atom_site_fract_y
_atom_site_fract_z
K1 K 0.000 0.500 0.000
H1 H 0.000 0.000 0.000
Au1 Au 0.000 0.000 0.500
I1 I 0.500 0.500 0.500
```

Computed properties:
Total energy, eV per atom: -2.70


A plane-wave DFT calculation with PBE was carried out for a geometry-optimized MnH2AuI structure.

Structure (CIF):
```
data_MnH2AuI
_cell_length_a 3.867
_cell_length_b 3.867
_cell_length_c 7.558
_cell_angle_alpha 90.00
_cell_angle_beta 90.00
_cell_angle_gamma 90.00
_space_group_name_H-M_alt 'P 4/m m m'
_space_group_IT_number 123
_space_group_name_Hall '-P 4 2'
loop_
_atom_site_label
_atom_site_type_symbol
_atom_site_fract_x
_atom_site_fract_y
_atom_site_fract_z
Mn1 Mn 0.000 0.000 0.000
H1 H 0.000 0.500 0.500
Au1 Au 0.500 0.500 0.000
I1 I 0.500 0.500 0.500
```

Computed properties:
Energy above the most stable polymorph in this dataset, meV per atom: 298


A plane-wave DFT calculation with PBE was carried out for a geometry-optimized MnH2AuI structure.

Structure (CIF):
```
data_MnH2AuI
_cell_length_a 3.919
_cell_length_b 3.919
_cell_length_c 5.939
_cell_angle_alpha 90.00
_cell_angle_beta 90.00
_cell_angle_gamma 90.00
_space_group_name_H-M_alt 'P 4/m m m'
_space_group_IT_number 123
_space_group_name_Hall '-P 4 2'
loop_
_atom_site_label
_atom_site_type_symbol
_atom_site_fract_x
_atom_site_fract_y
_atom_site_fract_z
Mn1 Mn 0.000 0.000 0.000
H1 H 0.000 0.500 0.000
Au1 Au 0.000 0.000 0.500
I1 I 0.500 0.500 0.500
```

Computed properties:
Energy above the most stable polymorph in this dataset, meV per atom: 0


A plane-wave DFT calculation with PBE was carried out for a geometry-optimized HAuIN2 structure.

Structure (CIF):
```
data_HAuIN2
_cell_length_a 4.277
_cell_length_b 4.277
_cell_length_c 3.786
_cell_angle_alpha 90.00
_cell_angle_beta 90.00
_cell_angle_gamma 90.00
_space_group_name_H-M_alt 'P 4/m m m'
_space_group_IT_number 123
_space_group_name_Hall '-P 4 2'
loop_
_atom_site_label
_atom_site_type_symbol
_atom_site_fract_x
_atom_site_fract_y
_atom_site_fract_z
H1 H 0.000 0.000 0.000
Au1 Au 0.500 0.500 0.500
I1 I 0.000 0.000 0.500
N1 N 0.000 0.500 0.000
```

Computed properties:
Energy above the most stable polymorph in this dataset, meV per atom: 471


A plane-wave DFT calculation with PBE was carried out for a geometry-optimized HAuIN2 structure.

Structure (CIF):
```
data_HAuIN2
_cell_length_a 3.920
_cell_length_b 3.920
_cell_length_c 8.345
_cell_angle_alpha 90.00
_cell_angle_beta 90.00
_cell_angle_gamma 90.00
_space_group_name_H-M_alt 'P 4/m m m'
_space_group_IT_number 123
_space_group_name_Hall '-P 4 2'
loop_
_atom_site_label
_atom_site_type_symbol
_atom_site_fract_x
_atom_site_fract_y
_atom_site_fract_z
H1 H 0.000 0.000 0.000
Au1 Au 0.500 0.500 0.500
I1 I 0.500 0.500 0.000
N1 N 0.000 0.500 0.500
```

Computed properties:
Energy above the most stable polymorph in this dataset, meV per atom: 0


A plane-wave DFT calculation with PBE was carried out for a geometry-optimized HAuIO2 structure.

Structure (CIF):
```
data_HAuIO2
_cell_length_a 3.841
_cell_length_b 3.841
_cell_length_c 8.134
_cell_angle_alpha 90.00
_cell_angle_beta 90.00
_cell_angle_gamma 90.00
_space_group_name_H-M_alt 'P 4/m m m'
_space_group_IT_number 123
_space_group_name_Hall '-P 4 2'
loop_
_atom_site_label
_atom_site_type_symbol
_atom_site_fract_x
_atom_site_fract_y
_atom_site_fract_z
H1 H 0.000 0.000 0.000
Au1 Au 0.500 0.500 0.500
I1 I 0.500 0.500 0.000
O1 O 0.000 0.500 0.500
```

Computed properties:
Energy above the most stable polymorph in this dataset, meV per atom: 0


A plane-wave DFT calculation with PBE was carried out for a geometry-optimized HAuIO2 structure.

Structure (CIF):
```
data_HAuIO2
_cell_length_a 4.307
_cell_length_b 4.307
_cell_length_c 3.530
_cell_angle_alpha 90.00
_cell_angle_beta 90.00
_cell_angle_gamma 90.00
_space_group_name_H-M_alt 'P 4/m m m'
_space_group_IT_number 123
_space_group_name_Hall '-P 4 2'
loop_
_atom_site_label
_atom_site_type_symbol
_atom_site_fract_x
_atom_site_fract_y
_atom_site_fract_z
H1 H 0.000 0.000 0.000
Au1 Au 0.500 0.500 0.500
I1 I 0.000 0.000 0.500
O1 O 0.000 0.500 0.000
```

Computed properties:
Energy above the most stable polymorph in this dataset, meV per atom: 317


A plane-wave DFT calculation with PBE was carried out for a geometry-optimized HAuI2O structure.

Structure (CIF):
```
data_HAuI2O
_cell_length_a 5.914
_cell_length_b 5.914
_cell_length_c 3.906
_cell_angle_alpha 90.00
_cell_angle_beta 90.00
_cell_angle_gamma 90.00
_space_group_name_H-M_alt 'P 4/m m m'
_space_group_IT_number 123
_space_group_name_Hall '-P 4 2'
loop_
_atom_site_label
_atom_site_type_symbol
_atom_site_fract_x
_atom_site_fract_y
_atom_site_fract_z
H1 H 0.000 0.000 0.000
Au1 Au 0.500 0.500 0.500
I1 I 0.000 0.500 0.500
O1 O 0.500 0.500 0.000
```

Computed properties:
Energy above the most stable polymorph in this dataset, meV per atom: 276


A plane-wave DFT calculation with PBE was carried out for a geometry-optimized HAuI2O structure.

Structure (CIF):
```
data_HAuI2O
_cell_length_a 5.939
_cell_length_b 5.939
_cell_length_c 2.829
_cell_angle_alpha 90.00
_cell_angle_beta 90.00
_cell_angle_gamma 90.00
_space_group_name_H-M_alt 'P 4/m m m'
_space_group_IT_number 123
_space_group_name_Hall '-P 4 2'
loop_
_atom_site_label
_atom_site_type_symbol
_atom_site_fract_x
_atom_site_fract_y
_atom_site_fract_z
H1 H 0.000 0.000 0.000
Au1 Au 0.500 0.500 0.500
I1 I 0.000 0.500 0.000
O1 O 0.000 0.000 0.500
```

Computed properties:
Energy above the most stable polymorph in this dataset, meV per atom: 0


A plane-wave DFT calculation with PBE was carried out for a geometry-optimized Rb2HAuI structure.

Structure (CIF):
```
data_Rb2HAuI
_cell_length_a 6.166
_cell_length_b 6.166
_cell_length_c 4.089
_cell_angle_alpha 90.00
_cell_angle_beta 90.00
_cell_angle_gamma 90.00
_space_group_name_H-M_alt 'P 4/m m m'
_space_group_IT_number 123
_space_group_name_Hall '-P 4 2'
loop_
_atom_site_label
_atom_site_type_symbol
_atom_site_fract_x
_atom_site_fract_y
_atom_site_fract_z
Rb1 Rb 0.000 0.500 0.000
H1 H 0.000 0.000 0.000
Au1 Au 0.000 0.000 0.500
I1 I 0.500 0.500 0.500
```

Computed properties:
Energy above the most stable polymorph in this dataset, meV per atom: 0


A plane-wave DFT calculation with PBE was carried out for a geometry-optimized Rb6HAu2I3 structure.

Structure (CIF):
```
data_Rb6HAu2I3
_cell_length_a 8.767
_cell_length_b 15.167
_cell_length_c 8.770
_cell_angle_alpha 90.00
_cell_angle_beta 109.47
_cell_angle_gamma 90.00
_space_group_name_H-M_alt 'C 1 2/m 1'
_space_group_IT_number 12
loop_
_space_group_symop_operation_xyz
'x,y,z'
'-x,-y,-z'
'-x,y,-z'
'x,-y,z'
'x+1/2,y+1/2,z'
'-x+1/2,-y+1/2,-z'
'-x+1/2,y+1/2,-z'
'x+1/2,-y+1/2,z'
loop_
_atom_site_label
_atom_site_type_symbol
_atom_site_fract_x
_atom_site_fract_y
_atom_site_fract_z
Rb1 Rb 0.233 0.157 0.227
Rb2 Rb 0.237 0.000 0.771
H1 H 0.000 0.000 0.000
Au1 Au 0.000 0.334 0.000
I1 I 0.000 0.172 0.500
I2 I 0.000 0.500 0.500
```

Computed properties:
Total energy, eV per atom: -2.54


A plane-wave DFT calculation with PBE was carried out for a geometry-optimized Rb2HAuI structure.

Structure (CIF):
```
data_Rb2HAuI
_cell_length_a 6.653
_cell_length_b 6.653
_cell_length_c 3.892
_cell_angle_alpha 90.00
_cell_angle_beta 90.00
_cell_angle_gamma 90.00
_space_group_name_H-M_alt 'P 4/m m m'
_space_group_IT_number 123
_space_group_name_Hall '-P 4 2'
loop_
_atom_site_label
_atom_site_type_symbol
_atom_site_fract_x
_atom_site_fract_y
_atom_site_fract_z
Rb1 Rb 0.000 0.500 0.000
H1 H 0.000 0.000 0.500
Au1 Au 0.000 0.000 0.000
I1 I 0.500 0.500 0.500
```

Computed properties:
Energy above the most stable polymorph in this dataset, meV per atom: 76


Number 1: magnetic moment 0.00 μB/cell. Number 2: magnetic moment 4.74 μB/cell. Number 3: magnetic moment 4.52 μB/cell. Number 4: magnetic moment 3.31 μB/cell. Number 5: magnetic moment 3.32 μB/cell. Number 6: magnetic moment 1.28 μB/cell. Number 7: magnetic moment 1.42 μB/cell. Number 8: magnetic moment 1.77 μB/cell. Number 9: magnetic moment 0.00 μB/cell. Number 10: magnetic moment 0.00 μB/cell. Number 11: magnetic moment 0.13 μB/cell. Number 12: magnetic moment 0.00 μB/cell.